(1)
The following is a PBE-GGA calculation of a relaxed PmYTl crystal, from the Alexandria database.

```
PmYTl
1.0
5.208 0.000 0.000
0.000 6.855 0.000
0.000 0.000 10.104
Y Pm Tl
4 4 4
Direct
0.000 0.074 0.435
0.500 0.926 0.935
0.000 0.574 0.065
0.500 0.426 0.565
0.500 0.293 0.206
0.500 0.793 0.294
0.000 0.207 0.794
0.000 0.707 0.706
0.500 0.465 0.887
0.000 0.535 0.387
0.500 0.965 0.613
0.000 0.035 0.113
```

Calculated values
Calculated density in kg/m³: 8071
Formation energy from the elements in meV per atom: -293
ΔE to the lowest computed polymorph in eV/f.u.: 0.00
Volume in A^3/atom: 30.06

***

(2)
The following is a PBE-GGA calculation of a relaxed K2TcHgBr crystal, from the Alexandria database.

```
K2TcHgBr
1.0
-2.898 4.185 -3.961
-3.593 0.435 3.089
3.079 4.872 2.895
Tc Br K Hg
1 1 2 1
Direct
0.000 0.000 0.000
0.000 0.500 0.000
0.500 0.000 0.000
0.000 0.000 0.500
0.500 0.500 0.500
```

Calculated values
Calculated density in kg/m³: 3831
Formation energy from raw total energies in eV/atom: 0.39
Volume in A^3/atom: 39.59

***

(3)
The following is a PBE-GGA calculation of a relaxed Dy3SiCl3 crystal, from the Alexandria database.

```
Dy3SiCl3
1.0
9.207 0.000 -3.255
-4.603 7.973 -3.255
0.000 0.000 9.765
Si Cl Dy
4 12 12
Direct
0.750 0.250 0.250
0.500 0.250 0.500
0.750 0.500 0.000
0.000 0.000 0.250
0.750 0.752 0.748
0.496 0.748 0.998
0.252 0.748 0.250
0.498 0.502 0.250
0.002 0.752 0.504
0.248 0.998 0.996
0.002 0.250 0.998
0.004 0.502 0.752
0.248 0.250 0.752
0.750 0.998 0.502
0.252 0.504 0.502
0.498 0.996 0.748
0.250 0.242 0.258
0.742 0.484 0.492
0.508 0.492 0.750
0.984 0.492 0.242
0.992 0.242 0.484
0.742 0.258 0.750
0.992 0.750 0.008
0.758 0.750 0.242
0.250 0.008 0.492
0.758 0.008 0.016
0.516 0.258 0.008
0.508 0.016 0.258
```

Calculated values
Calculated density in kg/m³: 5762
Formation energy from raw total energies in eV/atom: -1.57
Volume in A^3/atom: 25.60

***

(4)
The following is a PBE-GGA calculation of a relaxed GdYF crystal, from the Alexandria database.

```
GdYF
1.0
-3.175 -0.610 -1.872
3.219 0.383 -1.857
0.867 -5.594 0.351
Gd F Y
1 1 1
Direct
0.000 0.000 0.924
0.333 0.667 0.664
0.667 0.333 0.413
```

Calculated values
Calculated density in kg/m³: 6422
Formation energy from raw total energies in eV/atom: -1.54
Volume in A^3/atom: 22.85

***

(5)
The following is a PBE-GGA calculation of a relaxed HfBiH3 crystal, from the Alexandria database.

```
HfBiH3
1.0
4.123 0.000 0.000
0.000 4.123 0.000
0.000 0.000 4.123
Hf H Bi
1 3 1
Direct
0.500 0.500 0.500
0.500 0.000 0.000
0.000 0.500 0.000
0.000 0.000 0.500
0.000 0.000 0.000
```

Calculated values
Calculated density in kg/m³: 9251
ΔE to the lowest computed polymorph in eV/f.u.: 4.99
Volume in A^3/atom: 14.02

***

(6)
The following is a PBE-GGA calculation of a relaxed ErTl2F5 crystal, from the Alexandria database.

```
ErTl2F5
1.0
6.564 0.000 0.000
-3.282 5.842 -2.453
0.000 0.343 8.741
F Tl Er
10 4 2
Direct
0.016 0.000 0.250
0.984 0.000 0.750
0.911 0.268 0.561
0.089 0.732 0.439
0.359 0.265 0.574
0.905 0.265 0.074
0.095 0.735 0.926
0.357 0.268 0.061
0.641 0.735 0.426
0.643 0.732 0.939
0.332 0.660 0.665
0.668 0.340 0.335
0.328 0.660 0.165
0.672 0.340 0.835
0.000 0.000 0.000
0.000 0.000 0.500
```

Calculated values
Calculated density in kg/m³: 6541
Formation energy from raw total energies in eV/atom: -2.98
Volume in A^3/atom: 21.29

***

(7)
The following is a PBE-GGA calculation of a relaxed Hf3TlRh crystal, from the Alexandria database.

```
Hf3TlRh
1.0
-2.179 1.618 4.191
1.600 -4.073 2.404
4.198 2.392 1.259
Hf Tl Rh
3 1 1
Direct
0.000 0.000 0.500
0.000 0.500 0.000
0.500 0.000 0.000
0.500 0.500 0.500
0.000 0.000 0.000
```

Calculated values
Calculated density in kg/m³: 11244
Formation energy from the elements in meV per atom: 183
ΔE to the lowest computed polymorph in eV/f.u.: 0.00
Volume in A^3/atom: 24.89

***

(8)
The following is a PBE-GGA calculation of a relaxed Ag2Pt crystal, from the Alexandria database.

```
Ag2Pt
1.0
4.105 0.000 0.000
0.000 4.105 0.000
-2.052 -2.052 12.089
Ag Pt
8 4
Direct
0.500 0.000 0.001
0.250 0.250 0.501
0.000 0.500 0.999
0.667 0.167 0.333
0.583 0.583 0.167
0.750 0.750 0.499
0.833 0.333 0.667
0.417 0.417 0.833
0.335 0.835 0.670
0.085 0.085 0.170
0.165 0.665 0.330
0.915 0.915 0.830
```

Calculated values
Calculated density in kg/m³: 13398
Formation energy from the elements in meV per atom: 33
ΔE to the lowest computed polymorph in eV/f.u.: 0.14
Volume in A^3/atom: 16.97

***

(9)
The following is a PBE-GGA calculation of a relaxed B2PbF crystal, from the Alexandria database.

```
B2PbF
1.0
0.148 -1.984 3.765
-2.806 -3.075 0.899
1.282 -4.055 0.221
Pb B F
1 2 1
Direct
0.500 0.500 0.500
0.250 0.250 0.250
0.750 0.750 0.750
0.000 0.000 0.000
```

Calculated values
Calculated density in kg/m³: 7535
Formation energy from raw total energies in eV/atom: 1.21
ΔE to the lowest computed polymorph in eV/f.u.: 4.49
Volume in A^3/atom: 13.65

***

(10)
The following is a PBE-GGA calculation of a relaxed Sc4RhPb crystal, from the Alexandria database.

```
Sc4RhPb
1.0
-4.112 0.740 3.866
-5.418 0.511 -1.669
-3.708 -4.190 1.048
Sc Pb Rh
4 1 1
Direct
0.374 0.374 0.374
0.374 0.877 0.374
0.374 0.374 0.877
0.877 0.374 0.374
0.750 0.750 0.750
0.000 0.000 0.000
```

Calculated values
Calculated density in kg/m³: 6237
Formation energy from the elements in meV per atom: 164
Volume in A^3/atom: 21.74

***

(11)
The following is a PBE-GGA calculation of a relaxed La8Ir3I4N crystal, from the Alexandria database.

```
La8Ir3I4N
1.0
-3.028 -7.353 -2.066
-0.824 -2.263 9.259
-4.026 6.969 -2.566
Ir La N I
3 8 1 4
Direct
0.500 0.500 0.000
0.000 0.500 0.500
0.500 0.500 0.500
0.767 0.314 0.534
0.233 0.686 0.466
0.784 0.325 0.032
0.268 0.312 0.536
0.753 0.675 0.968
0.247 0.325 0.032
0.216 0.675 0.968
0.732 0.688 0.464
0.000 0.500 0.000
0.500 0.000 0.500
0.500 0.000 0.000
0.000 0.000 0.500
0.000 0.000 0.000
```

Calculated values
Calculated density in kg/m³: 7365
Formation energy from raw total energies in eV/atom: -1.09
Volume in A^3/atom: 31.14

***

(12)
The following is a PBE-GGA calculation of a relaxed SmTl crystal, from the Alexandria database.

```
SmTl
1.0
4.652 0.000 -0.009
0.000 4.453 0.000
-2.306 0.000 5.899
Sm Tl
2 2
Direct
0.633 0.250 0.271
0.367 0.750 0.729
0.089 0.750 0.183
0.911 0.250 0.817
```

Calculated values
Calculated density in kg/m³: 9649
Formation energy from the elements in meV per atom: -338
Volume in A^3/atom: 30.53

***

(13)
The following is a PBE-GGA calculation of a relaxed CaPu2Zn2Si2 crystal, from the Alexandria database.

```
CaPu2Zn2Si2
1.0
4.021 0.000 0.000
2.011 3.483 0.000
2.011 1.161 9.234
Zn Pu Si Ca
2 2 2 1
Direct
0.411 0.411 0.768
0.589 0.589 0.232
0.849 0.849 0.453
0.151 0.151 0.547
0.744 0.744 0.768
0.256 0.256 0.232
0.000 0.000 0.000
```

Calculated values
Calculated density in kg/m³: 9182
Formation energy from raw total energies in eV/atom: -0.16
Volume in A^3/atom: 18.47

***

(14)
The following is a PBE-GGA calculation of a relaxed CaY3Ir crystal, from the Alexandria database.

```
CaY3Ir
1.0
-6.090 1.967 -1.319
-3.885 -4.885 10.657
1.345 6.484 3.462
Y Ca Ir
12 4 4
Direct
0.037 0.123 0.119
0.463 0.877 0.619
0.963 0.623 0.881
0.786 0.750 0.280
0.714 0.250 0.780
0.537 0.377 0.381
0.214 0.250 0.720
0.463 0.623 0.619
0.963 0.877 0.881
0.037 0.377 0.119
0.537 0.123 0.381
0.286 0.750 0.220
0.500 0.500 0.000
0.000 0.000 0.500
0.000 0.500 0.500
0.500 0.000 0.000
0.103 0.750 0.571
0.397 0.250 0.071
0.897 0.250 0.429
0.603 0.750 0.929
```

Calculated values
Calculated density in kg/m³: 5497
Formation energy from the elements in meV per atom: -184
ΔE to the lowest computed polymorph in eV/f.u.: 1.10
Volume in A^3/atom: 30.15

***

(15)
The following is a PBE-GGA calculation of a relaxed FePCl crystal, from the Alexandria database.

```
FePCl
1.0
-2.000 -1.647 3.025
0.888 -3.693 1.198
1.807 -0.578 3.502
Cl Fe P
1 1 1
Direct
0.500 0.500 0.500
0.750 0.750 0.750
0.000 0.000 0.000
```

Calculated values
Calculated density in kg/m³: 4545
Formation energy from raw total energies in eV/atom: 0.31
ΔE to the lowest computed polymorph in eV/f.u.: 2.15
Volume in A^3/atom: 14.89

***

(16)
The following is a PBE-GGA calculation of a relaxed CaHg3Te crystal, from the Alexandria database.

```
CaHg3Te
1.0
5.740 0.000 0.000
0.000 5.740 0.000
0.000 0.000 5.740
Hg Ca Te
3 1 1
Direct
0.000 0.500 0.000
0.000 0.000 0.500
0.500 0.000 0.000
0.500 0.500 0.500
0.000 0.000 0.000
```

Calculated values
Calculated density in kg/m³: 6757
Formation energy from raw total energies in eV/atom: 0.16
ΔE to the lowest computed polymorph in eV/f.u.: 0.00
Volume in A^3/atom: 37.82

***

(17)
The following is a PBE-GGA calculation of a relaxed BeSb2AsI crystal, from the Alexandria database.

```
BeSb2AsI
1.0
-2.886 -3.306 2.491
2.958 0.477 4.060
-2.805 3.665 1.613
Sb As Be I
2 1 1 1
Direct
0.500 0.000 0.000
0.000 0.500 0.000
0.500 0.500 0.500
0.000 0.000 0.000
0.000 0.000 0.500
```

Calculated values
Calculated density in kg/m³: 6062
Formation energy from raw total energies in eV/atom: 0.62
ΔE to the lowest computed polymorph in eV/f.u.: 0.00
Volume in A^3/atom: 24.89

***

(18)
The following is a PBE-GGA calculation of a relaxed Ta2BeOs crystal, from the Alexandria database.

```
Ta2BeOs
1.0
-2.556 7.444 -0.057
-2.698 6.756 -3.005
-4.975 5.988 -1.159
Ta Os Be
2 1 1
Direct
0.491 0.491 0.491
0.009 0.009 0.009
0.250 0.250 0.250
0.750 0.750 0.750
```

Calculated values
Calculated density in kg/m³: 15267
Formation energy from the elements in meV per atom: 167
Volume in A^3/atom: 15.26

***

(19)
The following is a PBE-GGA calculation of a relaxed Rb2SrTi crystal, from the Alexandria database.

```
Rb2SrTi
1.0
-2.647 1.807 5.869
1.548 5.926 2.684
-4.586 4.860 0.245
Ti Rb Sr
1 2 1
Direct
0.000 0.000 0.000
0.750 0.750 0.750
0.250 0.250 0.250
0.500 0.500 0.500
```

Calculated values
Calculated density in kg/m³: 2406
Formation energy from the elements in meV per atom: 971
ΔE to the lowest computed polymorph in eV/f.u.: 0.19
Volume in A^3/atom: 52.86

***

(20)
The following is a PBE-GGA calculation of a relaxed Ba2SrBe crystal, from the Alexandria database.

```
Ba2SrBe
1.0
-0.980 3.906 -6.804
-4.707 -2.426 -5.872
0.959 2.217 7.529
Ba Sr Be
2 1 1
Direct
0.999 0.999 0.000
0.319 0.819 0.500
0.678 0.178 0.500
0.503 0.503 0.000
```

Calculated values
Calculated density in kg/m³: 3489
Formation energy from the elements in meV per atom: 338
Volume in A^3/atom: 44.18